Record 1
Below is a relaxed structure of NdSb2Pd5, with properties calculated at the PBE level.

Output
- Density of states at the Fermi level: 0.6024 states/eV per atom
- Uncorrected formation energy: -0.584 eV per atom
- Spin magnetization: 0.0 μB per formula unit
- Final energy: -43.65 eV for the cell shown

Cell: 4.1303 6.8125 6.8125 Å, 64.13 72.35 72.35°
Atoms (fractional coordinates):
Nd1 0.0000 0.0000 0.0000
Sb1 0.7569 0.7431 0.7431
Sb2 0.2431 0.2569 0.2569
Pd1 0.0000 0.5000 0.5000
Pd2 0.6305 0.5662 0.1728
Pd3 0.3695 0.4338 0.8272
Pd4 0.3695 0.8272 0.4338
Pd5 0.6305 0.1728 0.5662



Record 2
Below is a relaxed structure of Nd2SbPd, with properties calculated at the PBE level.

Output
- Density of states at the Fermi level: 0.9744 states/eV per atom
- Uncorrected formation energy: -0.921 eV per atom
- Spin magnetization: 0.0 μB per formula unit
- Final energy: -45.07 eV for the cell shown

Cell: 4.4221 6.3002 8.5425 Å, 111.43 90.00 90.00°
Atoms (fractional coordinates):
Nd1 0.7500 0.2136 0.4441
Nd2 0.2500 0.7864 0.5559
Nd3 0.2500 0.7761 0.0916
Nd4 0.7500 0.2239 0.9084
Sb1 0.2500 0.3243 0.2039
Sb2 0.7500 0.6757 0.7961
Pd1 0.7500 0.6579 0.2929
Pd2 0.2500 0.3421 0.7071



Record 3
Below is a relaxed structure of Nd3Sb4Pd4, with properties calculated at the PBE level.

Output
- Density of states at the Fermi level: 0.2309 states/eV per atom
- Uncorrected formation energy: -0.973 eV per atom
- Spin magnetization: 0.0 μB per formula unit
- Final energy: -62.27 eV for the cell shown

Cell: 4.5623 7.3463 8.6878 Å, 115.01 105.22 90.00°
Atoms (fractional coordinates):
Nd1 0.1318 0.1318 0.2637
Nd2 0.8682 0.8682 0.7363
Nd3 0.0000 0.5000 0.0000
Sb1 0.2142 0.7142 0.4284
Sb2 0.7858 0.2858 0.5716
Sb3 0.5000 0.7986 0.0000
Sb4 0.5000 0.2014 0.0000
Pd1 0.3270 0.1286 0.6540
Pd2 0.6730 0.4746 0.3460
Pd3 0.6730 0.8714 0.3460
Pd4 0.3270 0.5254 0.6540



Record 4
Below is a relaxed structure of Nd3Sb5Pd6, with properties calculated at the PBE level.

Output
- Density of states at the Fermi level: 0.5152 states/eV per atom
- Uncorrected formation energy: -0.881 eV per atom
- Spin magnetization: 0.0 μB per formula unit
- Final energy: -156.81 eV for the cell shown

Cell: 4.4742 10.2334 13.4995 Å, 90.00 90.00 90.00°
Atoms (fractional coordinates):
Nd1 0.0000 0.2428 0.0000
Nd2 0.5000 0.7572 0.5000
Nd3 0.0000 0.2453 0.3258
Nd4 0.5000 0.7547 0.1742
Nd5 0.0000 0.2453 0.6742
Nd6 0.5000 0.7547 0.8258
Sb1 0.0000 0.5228 0.1264
Sb2 0.5000 0.4772 0.3736
Sb3 0.0000 0.5228 0.8736
Sb4 0.5000 0.4772 0.6264
Sb5 0.0000 0.8611 0.3366
Sb6 0.5000 0.1389 0.1634
Sb7 0.0000 0.8611 0.6634
Sb8 0.5000 0.1389 0.8366
Sb9 0.0000 0.8299 0.0000
Sb10 0.5000 0.1701 0.5000
Pd1 0.0000 0.9921 0.1612
Pd2 0.5000 0.0079 0.3388
Pd3 0.0000 0.9921 0.8388
Pd4 0.5000 0.0079 0.6612
Pd5 0.5000 0.9847 0.0000
Pd6 0.0000 0.0153 0.5000
Pd7 0.0000 0.6052 0.3174
Pd8 0.5000 0.3948 0.1826
Pd9 0.0000 0.6052 0.6826
Pd10 0.5000 0.3948 0.8174
Pd11 0.5000 0.5262 0.0000
Pd12 0.0000 0.4738 0.5000